# 1
First-principles (GGA-PBE) data for a relaxed HgPdAu3 crystal, as listed in the Alexandria database.

a b c (Å): 5.9303 4.0754 15.0092
angles (deg): 90.00 90.00 90.00
Positions (direct):
Hg1 0.1355 0.2500 0.1468
Hg2 0.3645 0.7500 0.6468
Hg3 0.6355 0.2500 0.3532
Hg4 0.8645 0.7500 0.8532
Pd1 0.1222 0.2500 0.5503
Pd2 0.3778 0.7500 0.0503
Pd3 0.6222 0.2500 0.9497
Pd4 0.8778 0.7500 0.4497
Au1 0.1139 0.2500 0.7491
Au2 0.1298 0.2500 0.3546
Au3 0.1333 0.2500 0.9518
Au4 0.3667 0.7500 0.4518
Au5 0.3702 0.7500 0.8546
Au6 0.3861 0.7500 0.2491
Au7 0.6139 0.2500 0.7509
Au8 0.6298 0.2500 0.1454
Au9 0.6333 0.2500 0.5482
Au10 0.8667 0.7500 0.0482
Au11 0.8702 0.7500 0.6454
Au12 0.8861 0.7500 0.2509

Results
DFT formation energy: -0.02 eV per atom
Symmetry: Pnma
E: -3.09 eV per atom
Magnetic moment: 0.00 μB/atom
Density of states at the Fermi level: 2.25 states/eV/f.u.

# 2
First-principles (GGA-PBE) data for a relaxed CeIn6Hg12 crystal, as listed in the Alexandria database.

a b c (Å): 8.0318 8.0318 8.0318
angles (deg): 91.72 91.72 91.72
Positions (direct):
Ce1 0.0000 0.0000 0.0000
In1 0.1482 0.7215 0.2615
In2 0.2615 0.1482 0.7215
In3 0.2785 0.7385 0.8518
In4 0.7215 0.2615 0.1482
In5 0.7385 0.8518 0.2785
In6 0.8518 0.2785 0.7385
Hg1 0.0419 0.1543 0.3783
Hg2 0.1543 0.3783 0.0419
Hg3 0.1959 0.4798 0.5439
Hg4 0.3783 0.0419 0.1543
Hg5 0.4561 0.8041 0.5202
Hg6 0.4798 0.5439 0.1959
Hg7 0.5202 0.4561 0.8041
Hg8 0.5439 0.1959 0.4798
Hg9 0.6217 0.9581 0.8457
Hg10 0.8041 0.5202 0.4561
Hg11 0.8457 0.6217 0.9581
Hg12 0.9581 0.8457 0.6217

Results
DFT formation energy: -0.04 eV per atom
Symmetry: R-3
E: -1.40 eV per atom
Magnetic moment: 0.06 μB/atom
Density of states at the Fermi level: 12.96 states/eV/f.u.

# 3
First-principles (GGA-PBE) data for a relaxed Ta3V5H12 crystal, as listed in the Alexandria database.

a b c (Å): 9.3058 9.3058 9.3058
angles (deg): 109.47 109.47 109.47
Positions (direct):
Ta1 0.1250 0.2500 0.3750
Ta2 0.1250 0.3750 0.7500
Ta3 0.2500 0.3750 0.1250
Ta4 0.2500 0.8750 0.6250
Ta5 0.3750 0.1250 0.2500
Ta6 0.3750 0.7500 0.1250
Ta7 0.6250 0.2500 0.8750
Ta8 0.6250 0.8750 0.7500
Ta9 0.7500 0.1250 0.3750
Ta10 0.7500 0.6250 0.8750
Ta11 0.8750 0.6250 0.2500
Ta12 0.8750 0.7500 0.6250
V1 0.0000 0.0000 0.0000
V2 0.0000 0.0000 0.5000
V3 0.0000 0.5000 0.0000
V4 0.0000 0.5000 0.5000
V5 0.1250 0.7500 0.8750
V6 0.1250 0.8750 0.2500
V7 0.2500 0.1250 0.8750
V8 0.2500 0.6250 0.3750
V9 0.3750 0.2500 0.6250
V10 0.3750 0.6250 0.7500
V11 0.5000 0.0000 0.0000
V12 0.5000 0.0000 0.5000
V13 0.5000 0.5000 0.0000
V14 0.5000 0.5000 0.5000
V15 0.6250 0.3750 0.2500
V16 0.6250 0.7500 0.3750
V17 0.7500 0.3750 0.6250
V18 0.7500 0.8750 0.1250
V19 0.8750 0.1250 0.7500
V20 0.8750 0.2500 0.1250
H1 0.0551 0.2183 0.1362
H2 0.0551 0.3368 0.9188
H3 0.0812 0.6362 0.4179
H4 0.0812 0.9449 0.6632
H5 0.0821 0.7183 0.6632
H6 0.0821 0.8638 0.4188
H7 0.1362 0.0551 0.2183
H8 0.1362 0.5812 0.9179
H9 0.1632 0.2183 0.5821
H10 0.1632 0.4449 0.5812
H11 0.2183 0.1362 0.0551
H12 0.2183 0.5821 0.1632
H13 0.2817 0.3368 0.9179
H14 0.2817 0.4449 0.3638
H15 0.3368 0.9179 0.2817
H16 0.3368 0.9188 0.0551
H17 0.3638 0.2817 0.4449
H18 0.3638 0.5821 0.9188
H19 0.4179 0.0812 0.6362
H20 0.4179 0.8368 0.7817
H21 0.4188 0.0821 0.8638
H22 0.4188 0.8368 0.5551
H23 0.4449 0.3638 0.2817
H24 0.4449 0.5812 0.1632
H25 0.5551 0.4188 0.8368
H26 0.5551 0.6362 0.7183
H27 0.5812 0.1632 0.4449
H28 0.5812 0.9179 0.1362
H29 0.5821 0.1632 0.2183
H30 0.5821 0.9188 0.3638
H31 0.6362 0.4179 0.0812
H32 0.6362 0.7183 0.5551
H33 0.6632 0.0812 0.9449
H34 0.6632 0.0821 0.7183
H35 0.7183 0.5551 0.6362
H36 0.7183 0.6632 0.0821
H37 0.7817 0.4179 0.8368
H38 0.7817 0.8638 0.9449
H39 0.8368 0.5551 0.4188
H40 0.8368 0.7817 0.4179
H41 0.8638 0.4188 0.0821
H42 0.8638 0.9449 0.7817
H43 0.9179 0.1362 0.5812
H44 0.9179 0.2817 0.3368
H45 0.9188 0.0551 0.3368
H46 0.9188 0.3638 0.5821
H47 0.9449 0.6632 0.0812
H48 0.9449 0.7817 0.8638

Results
Symmetry: Ia-3d
E: -6.20 eV per atom
Magnetic moment: 0.00 μB/atom
Density of states at the Fermi level: 11.90 states/eV/f.u.